(1)
VASP calculation (PBE) on crystalline CsRb2TlHg2 at its relaxed geometry.

The structure in POSCAR format:
```
CsRb2TlHg2
1.0
5.968 0.000 0.000
0.000 9.307 0.000
0.000 0.000 10.068
Tl Hg Rb Cs
2 4 4 2
Direct
0.500 0.119 0.722
0.500 0.619 0.278
0.000 0.239 0.802
0.000 0.739 0.198
0.500 0.801 0.579
0.500 0.301 0.421
0.000 0.860 0.855
0.000 0.360 0.145
0.500 0.495 0.867
0.500 0.995 0.133
0.000 0.531 0.534
0.000 0.031 0.466
```

Size of the total moment ... 0.00 μB per formula unit
Space-group type ... Pmc2_1 (26)
Total energy ... -1.10 eV per atom
DFT formation energy ... -0.145 eV per atom
DOS at the Fermi energy ... 6.61 states/eV/cell

***

(2)
VASP calculation (PBE) on crystalline CsRbTlHg at its relaxed geometry.

The structure in POSCAR format:
```
CsRbTlHg
1.0
-3.443 -3.107 2.778
5.261 -0.015 1.246
-0.792 8.622 3.414
Tl Rb Cs Hg
1 1 1 1
Direct
0.501 0.615 0.117
0.998 0.863 0.861
0.358 0.044 0.402
0.834 0.282 0.116
```

Size of the total moment ... 0.00 μB per formula unit
Space-group type ... Cm (8)
Offset from the most stable computed form ... 0.000 eV/atom
Total energy ... -1.26 eV per atom
DFT formation energy ... -0.142 eV per atom
DOS at the Fermi energy ... 3.08 states/eV/cell

***

(3)
VASP calculation (PBE) on crystalline CsRbTlHg2 at its relaxed geometry.

The structure in POSCAR format:
```
CsRbTlHg2
1.0
6.094 0.000 0.000
0.000 6.094 0.000
0.000 0.000 7.090
Rb Hg Tl Cs
1 2 1 1
Direct
0.500 0.500 0.500
0.000 0.500 0.000
0.500 0.000 0.000
0.000 0.000 0.000
0.000 0.000 0.500
```

Size of the total moment ... 0.00 μB per formula unit
Space-group type ... P4/mmm (123)
Offset from the most stable computed form ... 0.058 eV/atom
Total energy ... -0.92 eV per atom
DFT formation energy ... 0.037 eV per atom
DOS at the Fermi energy ... 3.49 states/eV/cell

***

(4)
VASP calculation (PBE) on crystalline CsRbTlHg2 at its relaxed geometry.

The structure in POSCAR format:
```
CsRbTlHg2
1.0
-4.677 -3.595 1.391
3.854 -4.366 1.676
0.009 2.475 6.427
Tl Cs Hg Rb
1 1 2 1
Direct
0.000 0.000 0.000
0.500 0.500 0.500
0.500 0.000 0.000
0.000 0.500 0.000
0.000 0.000 0.500
```

Size of the total moment ... 0.00 μB per formula unit
Space-group type ... P4/mmm (123)
Offset from the most stable computed form ... 0.000 eV/atom
Total energy ... -0.98 eV per atom
DFT formation energy ... -0.021 eV per atom
DOS at the Fermi energy ... 2.91 states/eV/cell